Compound: FeSnPt6
Source: the Alexandria database
Functional: PBE-GGA
Structure: optimized geometry

Geometry as extended XYZ:
```
8
Lattice="3.988 0.000 0.000 0.000 3.988 0.000 0.000 0.000 8.003" Properties=species:S:1:pos:R:3 pbc="T T T"
Fe 0.000 0.000 0.000
Sn 0.000 0.000 4.002
Pt 0.000 1.994 1.898
Pt 0.000 1.994 6.105
Pt 1.994 0.000 1.898
Pt 1.994 0.000 6.105
Pt 1.994 1.994 0.000
Pt 1.994 1.994 4.002
```

Electronic total energy: -0.469 Ry/atom
Energy of formation from the pure elements: -0.295 eV/atom
Volume: 15.91 A^3/atom
Symmetry: No. 123